[1]
Entry from Alexandria: Tm8Ru2Au after structural relaxation (PBE-GGA).

## Properties
- energy of formation (eV per atom) = -0.33
- total moment (μB/atom) = 0.00

Cell lengths 8.481, 12.547, 5.578 Å; angles 90.00, 106.21, 90.00 degrees
Space group Cm (No. 8)
Unique sites:
1 Tm 0.000 0.000 0.000 [2 per cell]
2 Tm 0.082 0.368 0.783 [4 per cell]
3 Tm 0.177 0.131 0.601 [4 per cell]
4 Tm 0.248 0.500 0.384 [2 per cell]
5 Tm 0.379 0.233 0.194 [4 per cell]
6 Ru 0.379 0.312 0.691 [4 per cell]
7 Au 0.373 0.000 0.297 [2 per cell]

***

[2]
Entry from Alexandria: Tm5RuAu2 after structural relaxation (PBE-GGA).

## Properties
- energy of formation (eV per atom) = -0.63
- total moment (μB/atom) = 0.00

Cell lengths 7.097, 11.572, 4.689 Å; angles 90.00, 90.00, 90.00 degrees
Space group Pbam (No. 55)
Unique sites:
1 Tm 0.000 0.000 0.000 [2 per cell]
2 Tm 0.152 0.292 0.000 [4 per cell]
3 Tm 0.179 0.586 0.500 [4 per cell]
4 Ru 0.000 0.500 0.000 [2 per cell]
5 Au 0.071 0.838 0.500 [4 per cell]

***

[3]
Entry from Alexandria: Tm2RuAu after structural relaxation (PBE-GGA).

## Properties
- energy of formation (eV per atom) = -0.65
- total moment (μB/atom) = 0.00

Cell lengths 4.875, 4.875, 6.920 Å; angles 90.00, 90.00, 90.00 degrees
Space group I4/mmm (No. 139)
Unique sites:
1 Tm 0.000 0.500 0.250 [4 per cell]
2 Ru 0.000 0.000 0.000 [2 per cell]
3 Au 0.000 0.000 0.500 [2 per cell]

***

[4]
Entry from Alexandria: Tm4RuAu after structural relaxation (PBE-GGA).

## Properties
- energy above the most stable polymorph in this dataset (kcal/mol of atoms) = 0.000
- energy of formation (eV per atom) = -0.53
- total moment (μB/atom) = 0.00

Cell lengths 8.887, 12.898, 6.195 Å; angles 90.00, 120.80, 90.00 degrees
Space group C2/c (No. 15)
Unique sites:
1 Tm 0.118 0.174 0.088 [8 per cell]
2 Tm 0.211 0.434 0.294 [8 per cell]
3 Ru 0.000 0.001 0.750 [4 per cell]
4 Au 0.000 0.367 0.750 [4 per cell]

***

[5]
Entry from Alexandria: Tm5Ru2Au after structural relaxation (PBE-GGA).

## Properties
- energy of formation (eV per atom) = -0.55
- total moment (μB/atom) = 0.00

Cell lengths 7.587, 7.587, 12.930 Å; angles 90.00, 90.00, 90.00 degrees
Space group I4/mcm (No. 140)
Unique sites:
1 Tm 0.000 0.000 0.000 [4 per cell]
2 Tm 0.159 0.341 0.137 [16 per cell]
3 Ru 0.142 0.358 0.500 [8 per cell]
4 Au 0.000 0.000 0.250 [4 per cell]

***

[6]
Entry from Alexandria: Tm4RuAu after structural relaxation (PBE-GGA).

## Properties
- energy above the most stable polymorph in this dataset (kcal/mol of atoms) = 2.594
- energy of formation (eV per atom) = -0.42
- total moment (μB/atom) = 0.00

Cell lengths 6.989, 6.791, 6.827 Å; angles 90.00, 92.89, 90.00 degrees
Space group P2_1/c (No. 14)
Unique sites:
1 Tm 0.153 0.164 0.181 [4 per cell]
2 Tm 0.318 0.661 0.150 [4 per cell]
3 Ru 0.000 0.000 0.500 [2 per cell]
4 Au 0.500 0.000 0.000 [2 per cell]

***

[7]
Entry from Alexandria: Tm5RuAu4 after structural relaxation (PBE-GGA).

## Properties
- energy of formation (eV per atom) = -0.82
- total moment (μB/atom) = 0.00

Cell lengths 3.488, 3.488, 17.788 Å; angles 90.00, 90.00, 90.00 degrees
Space group P4/mmm (No. 123)
Unique sites:
1 Tm 0.000 0.000 0.000 [1 per cell]
2 Tm 0.000 0.000 0.204 [2 per cell]
3 Tm 0.000 0.000 0.408 [2 per cell]
4 Ru 0.500 0.500 0.500 [1 per cell]
5 Au 0.500 0.500 0.101 [2 per cell]
6 Au 0.500 0.500 0.305 [2 per cell]

***

[8]
Entry from Alexandria: Tm2Zn5Ru2Au after structural relaxation (PBE-GGA).

## Properties
- energy of formation (eV per atom) = -0.24
- total moment (μB/atom) = 0.00

Cell lengths 9.323, 9.323, 4.056 Å; angles 90.00, 90.00, 90.00 degrees
Space group P4/mbm (No. 127)
Unique sites:
1 Tm 0.174 0.326 0.000 [4 per cell]
2 Zn 0.000 0.500 0.500 [2 per cell]
3 Zn 0.061 0.796 0.500 [8 per cell]
4 Ru 0.123 0.623 0.000 [4 per cell]
5 Au 0.000 0.000 0.000 [2 per cell]